Entry 1:
The following is a PBE calculation of Ga2Tc3Ge3 after structural relaxation, from the Alexandria database.

a = 4.7028 Å, b = 4.6110 Å, c = 11.1244 Å
α = 90.00°, β = 90.61°, γ = 89.99°
Last column: nearest neighbours and their distance in Å.
Element x y z (fractional)
Tc 0.1257 0.2502 0.8994  5 Ge 2.61-2.79, 3 Ga 2.65-2.69
Ge 0.6535 0.2500 0.4857  5 Tc 2.60-2.75, 2 Ga 2.69-2.74, 2 Ge 2.74
Ge 0.3465 0.7500 0.5143  5 Tc 2.60-2.75, 2 Ga 2.69-2.74, 2 Ge 2.74
Ga 0.8436 0.7503 0.6368  1 Ga 2.51, 5 Tc 2.63-2.72, 2 Ge 2.69-2.74
Ge 0.3499 0.7500 0.9813  5 Tc 2.59-2.79, 2 Ga 2.69-2.71, 2 Ge 2.73
Ga 0.1564 0.2497 0.3632  1 Ga 2.51, 5 Tc 2.63-2.72, 2 Ge 2.69-2.74
Tc 0.3389 0.7503 0.7486  4 Ge 2.59-2.61, 4 Ga 2.63-2.69
Tc 0.8743 0.7498 0.1006  5 Ge 2.61-2.79, 3 Ga 2.65-2.69
Ga 0.1551 0.2498 0.1378  1 Ga 2.51, 5 Tc 2.65-2.69, 2 Ge 2.69-2.71
Tc 0.1379 0.2502 0.6007  5 Ge 2.60-2.75, 3 Ga 2.64-2.72
Tc 0.8621 0.7498 0.3993  5 Ge 2.60-2.75, 3 Ga 2.64-2.72
Ga 0.8449 0.7502 0.8622  1 Ga 2.51, 5 Tc 2.65-2.69, 2 Ge 2.69-2.71
Tc 0.6611 0.2497 0.2514  4 Ge 2.59-2.61, 4 Ga 2.63-2.69
Ge 0.4076 0.7497 0.2451  4 Tc 2.60-2.73, 2 Ga 2.85
Ge 0.5924 0.2503 0.7549  4 Tc 2.60-2.73, 2 Ga 2.85
Ge 0.6501 0.2500 0.0187  5 Tc 2.59-2.79, 2 Ga 2.69-2.71, 2 Ge 2.73

Computed properties:
ρ   8968 kg/m³
Formation energy from the elements   -0.04 eV/atom
Fermi-level density of states   5.60 states/eV/f.u.
E   -0.4718 Ry/atom


Entry 2:
The following is a PBE calculation of Ga2TcGe after structural relaxation, from the Alexandria database.

a = 9.4702 Å, b = 9.4702 Å, c = 7.1101 Å
α = 48.24°, β = 48.24°, γ = 90.00°
Last column: nearest neighbours and their distance in Å.
Element x y z (fractional)
Tc 0.0000 0.0000 0.0000  2 Ge 2.39, 4 Ga 2.44
Ge 0.2500 0.7500 0.5000  2 Tc 2.39
Ga 0.8747 0.1250 0.2500  2 Tc 2.44
Ga 0.8753 0.6250 0.2500  2 Tc 2.44
Ga 0.3750 0.1253 0.7500  2 Tc 2.44
Ge 0.5000 0.5000 0.0000  2 Tc 2.39
Ga 0.8750 0.1247 0.7500  2 Tc 2.44
Tc 0.7500 0.2500 0.5000  2 Ge 2.39, 4 Ga 2.44

Computed properties:
ρ   4805 kg/m³
Formation energy from the elements   0.13 eV/atom
Fermi-level density of states   1.94 states/eV/f.u.
E   -0.3769 Ry/atom


Entry 3:
The following is a PBE calculation of GaTcGe2 after structural relaxation, from the Alexandria database.

a = 3.0951 Å, b = 3.0951 Å, c = 8.5252 Å
α = 79.54°, β = 79.54°, γ = 60.00°
Last column: nearest neighbours and their distance in Å.
Element x y z (fractional)
Tc 0.6662 0.6662 0.0012  6 Ge 2.55-2.56
Ga 0.5008 0.5008 0.4977  6 Ge 2.92-2.96, 6 Ga 3.10
Ge 0.0730 0.0730 0.7808  3 Tc 2.56
Ge 0.2599 0.2599 0.2202  3 Tc 2.55

Computed properties:
ρ   7516 kg/m³
Formation energy from the elements   0.04 eV/atom
Fermi-level density of states   2.74 states/eV/f.u.
E   -0.4128 Ry/atom


Entry 4:
The following is a PBE calculation of Ga2TcGe after structural relaxation, from the Alexandria database.

a = 3.3228 Å, b = 4.9856 Å, c = 4.9856 Å
α = 64.72°, β = 70.58°, γ = 70.58°
Last column: nearest neighbours and their distance in Å.
Element x y z (fractional)
Tc 0.7500 0.9095 0.5905  2 Ge 2.48, 6 Ga 2.62-2.68
Ge 0.2500 0.2537 0.2463  2 Tc 2.48, 2 Ga 2.72
Ga 0.0465 0.8717 0.0349  3 Tc 2.62-2.68, 3 Ge 2.72-2.87
Ga 0.4535 0.4652 0.6283  3 Tc 2.62-2.68, 3 Ge 2.72-2.87

Computed properties:
ρ   7500 kg/m³
Formation energy from the elements   -0.03 eV/atom
Fermi-level density of states   1.48 states/eV/f.u.
E   -0.3887 Ry/atom


Entry 5:
The following is a PBE calculation of GaTcGe2 after structural relaxation, from the Alexandria database.

a = 3.0660 Å, b = 3.0660 Å, c = 8.8543 Å
α = 80.03°, β = 80.03°, γ = 60.00°
Last column: nearest neighbours and their distance in Å.
Element x y z (fractional)
Tc 0.5000 0.5000 0.5000  6 Ge 2.54
Ge 0.9031 0.9031 0.2908  1 Ga 2.52, 3 Tc 2.54
Ge 0.0969 0.0969 0.7092  1 Ga 2.52, 3 Tc 2.54
Ga 0.0000 0.0000 0.0000  2 Ge 2.52

Computed properties:
ρ   7359 kg/m³
Formation energy from the elements   -0.02 eV/atom
Fermi-level density of states   1.75 states/eV/f.u.
E   -0.4171 Ry/atom


Entry 6:
The following is a PBE calculation of GaTcGe after structural relaxation, from the Alexandria database.

a = 3.2670 Å, b = 3.2670 Å, c = 4.7415 Å
α = 110.15°, β = 110.15°, γ = 90.00°
Last column: nearest neighbours and their distance in Å.
Element x y z (fractional)
Ge 0.9431 0.9431 0.8863  5 Tc 2.64-2.86, 5 Ga 2.68-2.73
Ga 0.6190 0.6190 0.2379  5 Ge 2.68-2.73, 5 Tc 2.70-2.74
Tc 0.2879 0.2879 0.5758  5 Ge 2.64-2.86, 5 Ga 2.70-2.74

Computed properties:
ρ   9031 kg/m³
Formation energy from the elements   -0.25 eV/atom
Fermi-level density of states   0.09 states/eV/f.u.
E   -0.4599 Ry/atom


Which of these has the lowest Fermi-level density of states? GaTcGe


Look up the formation energy from the elements of the sixth one. -0.25 eV/atom


Which of these has the highest formation energy from the elements? number 2